1.
## CsCdAgBi (PBE-GGA)

Data for a relaxed structure of CsCdAgBi.

extended XYZ file:
```
8
Lattice="4.453 0.000 0.000 0.000 4.453 0.000 0.000 0.000 15.050" Properties=species:S:1:pos:R:3 pbc="T T T"
Cs 3.340 3.340 4.392
Cs 1.113 1.113 10.658
Cd 3.340 1.113 0.000
Cd 1.113 3.340 0.000
Ag 1.113 3.340 7.525
Ag 3.340 1.113 7.525
Bi 3.340 3.340 13.033
Bi 1.113 1.113 2.016
```

Mass density, g cm⁻³: 6.3
Symmetry: P4/nmm
Energy relative to the elements, kJ/mol of formula units: -13

2.
## LiTa2GaN (PBE-GGA)

Data for a relaxed structure of LiTa2GaN.

extended XYZ file:
```
5
Lattice="4.216 0.000 0.000 0.000 4.216 0.000 0.000 0.000 3.914" Properties=species:S:1:pos:R:3 pbc="T T T"
N 0.000 0.000 0.000
Li 0.000 0.000 1.957
Ga 2.108 2.108 1.957
Ta 0.000 2.108 0.000
Ta 2.108 0.000 0.000
```

Mass density, g cm⁻³: 10.8
Formation energy from raw total energies, eV per atom: -0.4889
Symmetry: P4/mmm

3.
## PuMn2Os (PBE-GGA)

Data for a relaxed structure of PuMn2Os.

extended XYZ file:
```
4
Lattice="4.056 0.000 0.000 0.000 3.954 0.000 0.000 0.000 3.954" Properties=species:S:1:pos:R:3 pbc="T T T"
Mn 0.000 0.000 1.977
Mn 0.000 1.977 0.000
Os 2.028 0.000 0.000
Pu 2.028 1.977 1.977
```

Mass density, g cm⁻³: 14.2
Offset from the most stable computed form, meV per atom: 0
Symmetry: P4/mmm
Energy relative to the elements, kJ/mol of formula units: 33

4.
## YZnPdPb (PBE-GGA)

Data for a relaxed structure of YZnPdPb.

extended XYZ file:
```
4
Lattice="4.927 0.000 0.000 2.463 4.267 0.000 2.463 1.422 4.023" Properties=species:S:1:pos:R:3 pbc="T T T"
Pb 2.463 1.422 1.006
Y 7.390 4.267 3.017
Zn 4.927 2.845 2.011
Pd 0.000 0.000 0.000
```

Mass density, g cm⁻³: 9.2
Symmetry: F-43m
Energy relative to the elements, kJ/mol of formula units: -180

5.
## LiBe2Fe (PBE-GGA)

Data for a relaxed structure of LiBe2Fe.

extended XYZ file:
```
4
Lattice="4.098 0.000 0.000 1.351 3.868 0.000 -2.724 -1.934 2.372" Properties=species:S:1:pos:R:3 pbc="T T T"
Be 0.000 0.000 0.000
Be 0.676 1.934 1.186
Fe 2.724 1.934 0.000
Li 2.049 0.000 1.186
```

Mass density, g cm⁻³: 3.6
Symmetry: I-4m2
Energy relative to the elements, kJ/mol of formula units: 79

6.
## PrGaNi2N (PBE-GGA)

Data for a relaxed structure of PrGaNi2N.

extended XYZ file:
```
10
Lattice="3.701 0.000 0.000 -1.851 5.639 0.000 0.000 0.000 7.039" Properties=species:S:1:pos:R:3 pbc="T T T"
Pr 0.000 5.181 5.279
Pr 1.851 0.457 1.760
Ga 1.851 2.615 5.279
Ga 0.000 3.024 1.760
Ni 0.000 1.833 6.657
Ni 1.851 3.806 0.382
Ni 0.000 1.833 3.901
Ni 1.851 3.806 3.138
N 0.000 0.000 0.000
N 0.000 0.000 3.520
```

Mass density, g cm⁻³: 7.7
Formation energy from raw total energies, eV per atom: -0.6376
Symmetry: Cmcm